Entry 1:
Entry from Alexandria via LeMat-Bulk: a relaxed Ba2MgIrC crystal (PBE-GGA).

Geometry as POSCAR:
```
Ba2MgIrC
1.0
5.9931 0.0000 0.0000
0.0000 5.9931 0.0000
0.0000 0.0000 3.9200
Mg C Ba Ir
1 1 2 1
direct
0.5000 0.5000 0.5000
0.0000 0.0000 0.0000
0.0000 0.5000 0.0000
0.5000 0.0000 0.0000
0.0000 0.0000 0.5000
```

Summary:
ΔE_f	-0.01	eV/f.u.
calculated total energy	-4.71	eV/atom
magnetization	0.00	μB/atom


Entry 2:
Entry from Alexandria via LeMat-Bulk: a relaxed BaMoSe2 crystal (PBE-GGA).

Geometry as POSCAR:
```
BaMoSe2
1.0
-0.5931 4.8493 -4.7634
-2.0213 -0.8381 -6.4629
-1.5879 -1.5307 6.4570
Se Ba Mo
2 1 1
direct
0.0000 0.0000 0.0000
0.2500 0.7500 0.5000
0.5000 0.5000 0.0000
0.7500 0.2500 0.5000
```

Summary:
energy above the most stable polymorph in this dataset	694	meV/atom
calculated total energy	-5.00	eV/atom
magnetization	1.00	μB/atom